## RbAu3F (GGA-PBE)

Data for an optimized crystal structure of RbAu3F.

Summary:
As for the mass density: 9.53 g cm⁻³. The density of states at the Fermi level is 0.71 states/eV per atom. The total energy comes out at -2.411 eV/atom. The symmetry is Pm-3m. For the magnetic moment, the calculation gives 0.00 μB/cell. As for the relative energy among the computed polymorphs: 0.000 eV per atom.

POSCAR file:
```
RbAu3F
1.0
4.9487 0.0000 0.0000
0.0000 4.9487 0.0000
0.0000 0.0000 4.9487
Rb Au F
1 3 1
Direct
0.5000 0.5000 0.5000 Rb
0.5000 0.0000 0.0000 Au
0.0000 0.5000 0.0000 Au
0.0000 0.0000 0.5000 Au
0.0000 0.0000 0.0000 F
```